Computed, not measured: an optimized crystal structure of Li4MnCo2O7 at the GGA+U level of DFT.

Output
- Energy above the lowest structure with this stoichiometry: 0.046 eV per atom
- Total DFT energy (no corrections): -5.84 eV/atom
- Spin magnetization: 0.21 μB per atom
- Space-group type: No. 2

abc: 5.0474 5.1000 10.4168
angles: 84.68 77.95 71.26
With the nearest neighbours (Å) after each atom.
Atoms (fractional coordinates):
Li1 0.4435 0.4946 0.6383  6 O 2.12-2.23
O1 0.3676 0.7961 0.2214  2 Co 1.98-2.02, 1 Mn 1.98, 2 Li 2.12-2.17
O2 0.1795 0.2130 0.6543  1 Co 1.87, 1 Mn 1.96, 1 Li 2.08
O3 0.8205 0.7870 0.3457  1 Co 1.87, 1 Mn 1.96, 1 Li 2.08
O4 0.2207 0.7762 0.5000  2 Mn 1.94, 4 Li 2.06-2.17
Li2 0.5565 0.5054 0.3617  6 O 2.12-2.23
Li3 0.1295 0.5120 0.2154  6 O 2.03-2.24
Li4 0.2867 0.5015 0.9304  5 O 2.08-2.12
O5 0.9612 0.7616 0.0641  2 Co 1.87-2.06, 2 Li 2.08-2.09
O6 0.2961 0.2427 0.3549  1 Mn 1.90, 3 Li 2.03-2.10, 1 Co 2.03
Li5 0.5000 0.0000 0.5000  6 O 2.08-2.12
Mn1 0.9373 0.9877 0.6404  6 O 1.90-1.98
O7 0.7039 0.7573 0.6451  1 Mn 1.90, 3 Li 2.03-2.10, 1 Co 2.03
O8 0.0388 0.2384 0.9359  2 Co 1.87-2.06, 2 Li 2.08-2.09
Li6 0.0000 0.5000 0.5000  6 O 2.06-2.21
Co1 0.2101 0.0104 0.0665  5 O 1.87-2.06
O9 0.4759 0.2304 0.0734  3 Co 1.95-2.06, 2 Li 2.08-2.10
O10 0.5241 0.7696 0.9266  3 Co 1.95-2.06, 2 Li 2.08-2.10
Li7 0.8705 0.4880 0.7846  6 O 2.03-2.24
O11 0.7793 0.2238 0.5000  2 Mn 1.94, 4 Li 2.06-2.17
Co2 0.3741 0.9833 0.7781  5 O 1.87-2.03
Mn2 0.0627 0.0123 0.3596  6 O 1.90-1.98
Co3 0.7899 0.9896 0.9335  5 O 1.87-2.06
O12 0.1195 0.7690 0.7789  2 Co 1.93-2.15, 1 Mn 1.94, 2 Li 2.12-2.16
Li8 0.7133 0.4985 0.0696  5 O 2.08-2.12
Co4 0.6259 0.0167 0.2219  5 O 1.87-2.03
O13 0.8805 0.2310 0.2211  2 Co 1.93-2.15, 1 Mn 1.94, 2 Li 2.12-2.16
O14 0.6324 0.2039 0.7786  2 Co 1.98-2.02, 1 Mn 1.98, 2 Li 2.12-2.17